DFT (PBE-GGA) results for a relaxed NdDyTlIr crystal.

The energy relative to the elements comes out at -0.4082 eV/atom. The density of states at the Fermi level is 3.23 states/eV/f.u. The calculation puts the total energy at -5.558 eV/atom.

Cell: 5.183 5.183 5.183 Å, 60.00 60.00 60.00°
Fractional coordinates of all 4 atoms:
Tl 0.500 0.500 0.500
Dy 0.750 0.750 0.750
Ir 0.000 0.000 0.000
Nd 0.250 0.250 0.250

=====

DFT (PBE-GGA) results for a relaxed Dy2NiIr3 crystal.

The energy relative to the elements comes out at -0.7532 eV/atom. The density of states at the Fermi level is 4.12 states/eV/f.u. The calculation puts the total energy at -7.681 eV/atom. For the energy above the most stable polymorph in this dataset, the calculation gives 0.0 kJ per mole of atoms.

Cell: 5.387 5.387 5.189 Å, 90.05 121.21 120.00°
Fractional coordinates of all 6 atoms:
Ni 0.000 0.000 0.000
Ir 0.500 0.000 0.500
Ir 0.500 0.500 0.500
Ir 0.000 0.000 0.500
Dy 0.748 0.374 0.123
Dy 0.252 0.626 0.877